Compound: Sc2IrO
Source: the Alexandria database
Functional: PBE-GGA
Structure: optimized geometry

Unit cell a=3.025 b=3.025 c=22.885 alpha=90.00 beta=90.00 gamma=120.00
Positions (direct):
1 Sc 0.000 0.000 0.109
2 Sc 0.000 0.000 0.891
3 Sc 0.333 0.667 0.558
4 Sc 0.333 0.667 0.775
5 Sc 0.667 0.333 0.225
6 Sc 0.667 0.333 0.442
7 Ir 0.000 0.000 0.000
8 Ir 0.333 0.667 0.667
9 Ir 0.667 0.333 0.333
10 O 0.000 0.000 0.500
11 O 0.333 0.667 0.167
12 O 0.667 0.333 0.833

Computed properties:
- Total DFT energy (no corrections): -7.924 eV/atom
- E_form (uncorrected): -1304 meV/atom
- Symmetry: R-3m

***

Compound: Sc3IrO
Source: the Alexandria database
Functional: PBE-GGA
Structure: optimized geometry

Unit cell a=4.995 b=4.995 c=4.995 alpha=90.00 beta=90.00 gamma=90.00
Positions (direct):
1 Sc 0.000 0.000 0.500
2 Sc 0.000 0.500 0.000
3 Sc 0.500 0.000 0.000
4 Ir 0.000 0.000 0.000
5 O 0.500 0.500 0.500

Computed properties:
- Total DFT energy (no corrections): -6.647 eV/atom
- E_form (uncorrected): -84 meV/atom
- Symmetry: Pm-3m

***

no.,calculated density (Mg/m³)
1,8.19
2,4.57